12
Lattice="5.711 -4.156 0.000 5.711 4.156 0.000 -0.861 0.000 6.687" Properties=species:S:1:pos:R:3 comment="K2TcS3 | the Open Quantum Materials Database | GGA-PBE | optimized geometry" spacegroup=C2/c energy_ev_per_atom=-4.945 pbc="T T T"
S 9.536 0.286 3.381
S 1.025 -0.286 3.306
S 9.967 -0.286 0.037
S 0.595 0.286 6.649
S 5.496 -1.193 1.672
S 5.066 1.193 5.015
K 3.155 -1.386 5.337
K 6.976 -1.386 4.693
K 3.585 1.386 1.994
K 7.406 1.386 1.349
Tc 5.065 3.414 5.015
Tc 5.496 -3.414 1.672

***

8
Lattice="-5.765 1.417 3.115 -5.905 -2.700 1.671 3.190 -2.384 6.489" Properties=species:S:1:pos:R:3 comment="KGaSnPt | the Open Quantum Materials Database | GGA-PBE | optimized geometry" spacegroup=C2/m energy_ev_per_atom=-3.997 pbc="T T T"
Pt -6.026 -2.680 8.227
Pt -2.453 -0.986 3.049
K -5.569 -1.327 4.322
K -2.910 -2.339 6.954
Sn -9.606 -1.202 4.357
Sn 1.127 -2.464 6.918
Ga -0.478 -1.586 4.569
Ga -8.001 -2.080 6.706

***

10
Lattice="0.889 -6.979 0.444 0.374 -3.111 6.315 -5.289 -4.092 2.232" Properties=species:S:1:pos:R:3 comment="K2LiAuCl6 | the Open Quantum Materials Database | GGA-PBE | optimized geometry" spacegroup=Fm-3m energy_ev_per_atom=-3.008 pbc="T T T"
Cl -0.378 -8.588 5.625
Cl -3.462 -7.147 6.517
Cl -3.204 -9.078 3.587
Cl -0.822 -5.105 5.403
Cl -3.648 -5.594 3.365
Cl -0.565 -7.035 2.473
K -1.007 -3.546 2.247
K -3.020 -10.637 6.742
Li -2.013 -7.091 4.495
Au 0.000 0.000 0.000

***

| no. | V (A^3/atom) |
| --- | --- |
| 1 | 26.5 |
| 2 | 26.3 |
| 3 | 24.8 |